[1]
# SiCl, PBEsol geometry, DFT SCAN
data_SiCl
_cell_length_a 5.6036
_cell_length_b 5.6036
_cell_length_c 5.6036
_cell_angle_alpha 90.00
_cell_angle_beta 90.00
_cell_angle_gamma 90.00
_symmetry_space_group_name_H-M 'F m -3 m'
_symmetry_Int_Tables_number 225
_symmetry_space_group_name_Hall '-F 4 2 3'
loop_
_atom_site_label
_atom_site_fract_x
_atom_site_fract_y
_atom_site_fract_z
Si1 0.0000 0.0000 0.0000
Cl1 0.0000 0.0000 0.5000
# - E above lowest polymorph (kJ per mole of atoms) = 99.9
# - total magnetic moment (μB/f.u.) = 0.000
# - DFT total energy (eV/atom) = -8.205
# - V (Å³ per atom) = 21.99
# - crystal system = cubic
# - uncorrected formation energy (kJ/mol of formula units) = 152.8



[2]
# Zn2CuPt, PBEsol geometry, DFT SCAN
data_Zn2CuPt
_cell_length_a 8.5163
_cell_length_b 2.7605
_cell_length_c 4.6470
_cell_angle_alpha 90.00
_cell_angle_beta 101.24
_cell_angle_gamma 90.00
_symmetry_space_group_name_H-M 'C 1 2/m 1'
_symmetry_Int_Tables_number 12
loop_
_symmetry_equiv_pos_as_xyz
'x,y,z'
'-x,-y,-z'
'-x,y,-z'
'x,-y,z'
'x+1/2,y+1/2,z'
'-x+1/2,-y+1/2,-z'
'-x+1/2,y+1/2,-z'
'x+1/2,-y+1/2,z'
loop_
_atom_site_label
_atom_site_fract_x
_atom_site_fract_y
_atom_site_fract_z
Zn1 0.2487 0.0000 0.2438
Cu1 0.0000 0.5000 0.0000
Pt1 0.0000 0.0000 0.5000
# - calculated formation energy (eV per atom) = -0.310
# - total magnetic moment (μB/f.u.) = 0.000
# - DFT total energy (eV/atom) = -28.416
# - V (Å³ per atom) = 13.39
# - crystal system = monoclinic



[3]
# AsPdN2, PBEsol geometry, DFT SCAN
data_AsPdN2
_cell_length_a 2.8969
_cell_length_b 2.8969
_cell_length_c 18.1756
_cell_angle_alpha 90.00
_cell_angle_beta 90.00
_cell_angle_gamma 120.00
_symmetry_space_group_name_H-M 'R -3 m'
_symmetry_Int_Tables_number 166
_symmetry_space_group_name_Hall '-R 3 2"'
loop_
_atom_site_label
_atom_site_fract_x
_atom_site_fract_y
_atom_site_fract_z
As1 0.0000 0.0000 0.0000
Pd1 0.0000 0.0000 0.5000
N1 0.0000 0.0000 0.3901
# - total magnetic moment (μB/f.u.) = 0.000
# - DFT total energy (eV/atom) = -17.524
# - V (Å³ per atom) = 11.01
# - crystal system = trigonal
# - uncorrected formation energy (kJ/mol of formula units) = 140.2



[4]
# IrRu, PBEsol geometry, DFT SCAN
data_IrRu
_cell_length_a 2.6840
_cell_length_b 2.6840
_cell_length_c 7.5978
_cell_angle_alpha 90.00
_cell_angle_beta 90.00
_cell_angle_gamma 90.00
_symmetry_space_group_name_H-M 'P 4/n m m'
_symmetry_Int_Tables_number 129
loop_
_symmetry_equiv_pos_as_xyz
'x,y,z'
'-x,-y,-z'
'-y+1/2,x,z'
'y+1/2,-x,-z'
'-x+1/2,-y+1/2,z'
'x+1/2,y+1/2,-z'
'y,-x+1/2,z'
'-y,x+1/2,-z'
'x+1/2,-y,-z'
'-x+1/2,y,z'
'-y,-x,-z'
'y,x,z'
'-x,y+1/2,-z'
'x,-y+1/2,z'
'y+1/2,x+1/2,-z'
'-y+1/2,-x+1/2,z'
loop_
_atom_site_label
_atom_site_fract_x
_atom_site_fract_y
_atom_site_fract_z
Ir1 0.2500 0.2500 0.1286
Ru1 0.2500 0.2500 0.6227
# - E above lowest polymorph (kJ per mole of atoms) = 6.3
# - calculated formation energy (eV per atom) = -0.009
# - total magnetic moment (μB/f.u.) = 0.000
# - DFT total energy (eV/atom) = -52.972
# - V (Å³ per atom) = 13.68
# - crystal system = tetragonal



[5]
# LiTl2In, PBEsol geometry, DFT SCAN
data_LiTl2In
_cell_length_a 3.3657
_cell_length_b 3.3657
_cell_length_c 8.3666
_cell_angle_alpha 90.00
_cell_angle_beta 90.00
_cell_angle_gamma 90.00
_symmetry_space_group_name_H-M 'P 4/m m m'
_symmetry_Int_Tables_number 123
_symmetry_space_group_name_Hall '-P 4 2'
loop_
_atom_site_label
_atom_site_fract_x
_atom_site_fract_y
_atom_site_fract_z
Li1 0.0000 0.0000 0.0000
Tl1 0.5000 0.5000 0.2229
In1 0.0000 0.0000 0.5000
# - calculated formation energy (eV per atom) = -0.092
# - total magnetic moment (μB/f.u.) = 0.000
# - DFT total energy (eV/atom) = -45.216
# - V (Å³ per atom) = 23.69
# - crystal system = tetragonal



[6]
# MgCdRh2, PBEsol geometry, DFT SCAN
data_MgCdRh2
_cell_length_a 10.0761
_cell_length_b 2.8819
_cell_length_c 4.7145
_cell_angle_alpha 90.00
_cell_angle_beta 113.73
_cell_angle_gamma 90.00
_symmetry_space_group_name_H-M 'C 1 m 1'
_symmetry_Int_Tables_number 8
loop_
_symmetry_equiv_pos_as_xyz
'x,y,z'
'x,-y,z'
'x+1/2,y+1/2,z'
'x+1/2,-y+1/2,z'
loop_
_atom_site_label
_atom_site_fract_x
_atom_site_fract_y
_atom_site_fract_z
Mg1 0.0000 0.0000 0.0000
Cd1 0.2245 0.0000 0.6054
Rh1 0.2528 0.5000 0.1203
Rh2 0.4720 0.0000 0.4917
# - calculated formation energy (eV per atom) = -0.283
# - total magnetic moment (μB/f.u.) = 0.000
# - DFT total energy (eV/atom) = -26.016
# - V (Å³ per atom) = 15.67
# - crystal system = monoclinic



[7]
# Pr3RuCl3, PBEsol geometry, DFT SCAN
data_Pr3RuCl3
_cell_length_a 14.1103
_cell_length_b 4.0535
_cell_length_c 12.1305
_cell_angle_alpha 90.00
_cell_angle_beta 90.00
_cell_angle_gamma 90.00
_symmetry_space_group_name_H-M 'P n m a'
_symmetry_Int_Tables_number 62
loop_
_symmetry_equiv_pos_as_xyz
'x,y,z'
'-x,-y,-z'
'-x+1/2,-y,z+1/2'
'x+1/2,y,-z+1/2'
'x+1/2,-y+1/2,-z+1/2'
'-x+1/2,y+1/2,z+1/2'
'-x,y+1/2,-z'
'x,-y+1/2,z'
loop_
_atom_site_label
_atom_site_fract_x
_atom_site_fract_y
_atom_site_fract_z
Pr1 0.0882 0.2500 0.1650
Pr2 0.1034 0.2500 0.6735
Pr3 0.1442 0.7500 0.4209
Ru1 0.0136 0.2500 0.4035
Cl1 0.0451 0.2500 0.9012
Cl2 0.2095 0.7500 0.0634
Cl3 0.2348 0.7500 0.7847
# - total magnetic moment (μB/f.u.) = 0.000
# - DFT total energy (eV/atom) = -28.597
# - V (Å³ per atom) = 24.78
# - crystal system = orthorhombic
# - uncorrected formation energy (kJ/mol of formula units) = -1104.1



[8]
# CePtRh, PBEsol geometry, DFT SCAN
data_CePtRh
_cell_length_a 5.2928
_cell_length_b 5.3634
_cell_length_c 7.5289
_cell_angle_alpha 90.00
_cell_angle_beta 90.00
_cell_angle_gamma 90.00
_symmetry_space_group_name_H-M 'I m m a'
_symmetry_Int_Tables_number 74
_symmetry_space_group_name_Hall '-I 2b 2'
loop_
_atom_site_label
_atom_site_fract_x
_atom_site_fract_y
_atom_site_fract_z
Ce1 0.0000 0.2500 0.1280
Pt1 0.2500 0.2500 0.7500
Rh1 0.0000 0.0000 0.5000
# - calculated formation energy (eV per atom) = -1.017
# - total magnetic moment (μB/f.u.) = 0.752
# - DFT total energy (eV/atom) = -50.526
# - V (Å³ per atom) = 17.81
# - crystal system = orthorhombic



[9]
# LaPSe2, PBEsol geometry, DFT SCAN
data_LaPSe2
_cell_length_a 4.0749
_cell_length_b 3.6961
_cell_length_c 6.5035
_cell_angle_alpha 90.00
_cell_angle_beta 107.10
_cell_angle_gamma 90.00
_symmetry_space_group_name_H-M 'P 1 m 1'
_symmetry_Int_Tables_number 6
loop_
_symmetry_equiv_pos_as_xyz
'x,y,z'
'x,-y,z'
loop_
_atom_site_label
_atom_site_fract_x
_atom_site_fract_y
_atom_site_fract_z
La1 0.0000 0.0000 0.0000
P1 0.6389 0.5000 0.2356
Se1 0.3887 0.5000 0.7762
Se2 0.9328 0.0000 0.4590
# - total magnetic moment (μB/f.u.) = 0.000
# - DFT total energy (eV/atom) = -24.381
# - V (Å³ per atom) = 23.41
# - crystal system = monoclinic
# - uncorrected formation energy (kJ/mol of formula units) = -372.9



[10]
# SiPIr2, PBEsol geometry, DFT SCAN
data_SiPIr2
_cell_length_a 2.8405
_cell_length_b 3.2843
_cell_length_c 5.6855
_cell_angle_alpha 90.00
_cell_angle_beta 90.00
_cell_angle_gamma 90.00
_symmetry_space_group_name_H-M 'P m m m'
_symmetry_Int_Tables_number 47
loop_
_symmetry_equiv_pos_as_xyz
'x,y,z'
'-x,-y,-z'
'-x,-y,z'
'x,y,-z'
'x,-y,-z'
'-x,y,z'
'-x,y,-z'
'x,-y,z'
loop_
_atom_site_label
_atom_site_fract_x
_atom_site_fract_y
_atom_site_fract_z
Si1 0.0000 0.0000 0.0000
P1 0.0000 0.0000 0.5000
Ir1 0.5000 0.5000 0.2413
# - E above lowest polymorph (kJ per mole of atoms) = 0.0
# - total magnetic moment (μB/f.u.) = 0.000
# - DFT total energy (eV/atom) = -40.732
# - V (Å³ per atom) = 13.26
# - crystal system = orthorhombic
# - uncorrected formation energy (kJ/mol of formula units) = -30.4



[11]
# TcBCl3, PBEsol geometry, DFT SCAN
data_TcBCl3
_cell_length_a 4.7104
_cell_length_b 4.7104
_cell_length_c 4.7104
_cell_angle_alpha 90.00
_cell_angle_beta 90.00
_cell_angle_gamma 90.00
_symmetry_space_group_name_H-M 'P m -3 m'
_symmetry_Int_Tables_number 221
_symmetry_space_group_name_Hall '-P 4 2 3'
loop_
_atom_site_label
_atom_site_fract_x
_atom_site_fract_y
_atom_site_fract_z
Tc1 0.0000 0.0000 0.0000
B1 0.5000 0.5000 0.5000
Cl1 0.0000 0.0000 0.5000
# - total magnetic moment (μB/f.u.) = 3.045
# - DFT total energy (eV/atom) = -12.619
# - V (Å³ per atom) = 20.90
# - crystal system = cubic
# - uncorrected formation energy (kJ/mol of formula units) = 321.3



[12]
# Ce7Pt3, PBEsol geometry, DFT SCAN
data_Ce7Pt3
_cell_length_a 9.6952
_cell_length_b 9.6952
_cell_length_c 6.0157
_cell_angle_alpha 90.00
_cell_angle_beta 90.00
_cell_angle_gamma 120.00
_symmetry_space_group_name_H-M 'P 63 m c'
_symmetry_Int_Tables_number 186
_symmetry_space_group_name_Hall 'P 6c -2c'
loop_
_atom_site_label
_atom_site_fract_x
_atom_site_fract_y
_atom_site_fract_z
Ce1 0.0774 0.5387 0.0000
Ce2 0.1333 0.2666 0.2476
Ce3 0.3333 0.6667 0.4249
Pt1 0.1894 0.3788 0.7136
# - calculated formation energy (eV per atom) = -0.775
# - total magnetic moment (μB/f.u.) = 3.191
# - DFT total energy (eV/atom) = -53.027
# - V (Å³ per atom) = 24.49
# - crystal system = hexagonal